A plane-wave DFT calculation with GGA-PBE was carried out for an optimized crystal structure of RbHoNiS3.

Properties
Electronic total energy, eV/atom: -5.22
Energy above the most stable polymorph in this dataset, kJ/mol of atoms: 0.0

Geometry as CIF:
```
data_RbHoNiS3
_chemical_formula_sum 'Rb2 Ho2 Ni2 S6'
_space_group_name_H-M_alt 'P 1 21/m 1'
_space_group_IT_number 11
_space_group_name_Hall '-P 2yb'
_cell_length_a 8.986
_cell_length_b 3.923
_cell_length_c 9.422
_cell_angle_alpha 90.00
_cell_angle_beta 109.54
_cell_angle_gamma 90.00
loop_
_atom_site_label
_atom_site_type_symbol
_atom_site_fract_x
_atom_site_fract_y
_atom_site_fract_z
Rb1 Rb 0.209 0.250 0.241
Ho1 Ho 0.328 0.750 0.860
Ni1 Ni 0.077 0.250 0.597
S1 S 0.116 0.250 0.850
S2 S 0.175 0.750 0.546
S3 S 0.469 0.750 0.160
```